#1
A relaxed structure of PmPr6Sc2. Source: Alexandria via LeMat-Bulk, functional PBE-GGA.

a = 12.2336 Å, b = 7.4306 Å, c = 7.4306 Å
α = 87.16°, β = 70.86°, γ = 70.86°
Last column: nearest neighbours and their distance in Å.
Fractional positions:
Pm 0.2500 0.0447 0.9553  2 Sc 3.31, 4 Pr 3.40-3.66
Pm 0.7500 0.9553 0.0447  2 Sc 3.31, 4 Pr 3.40-3.66
Pr 0.6051 0.7723 0.4938  4 Pr 3.30-3.58, 3 Sc 3.33-3.57, 1 Pm 3.66
Pr 0.8949 0.5062 0.2277  4 Pr 3.30-3.58, 3 Sc 3.33-3.57, 1 Pm 3.66
Pr 0.3949 0.2277 0.5062  4 Pr 3.30-3.58, 3 Sc 3.33-3.57, 1 Pm 3.66
Pr 0.1051 0.4938 0.7723  4 Pr 3.30-3.58, 3 Sc 3.33-3.57, 1 Pm 3.66
Pr 0.9339 0.0461 0.2597  2 Sc 3.27-3.57, 4 Pr 3.29-3.66, 1 Pm 3.40
Pr 0.5661 0.7403 0.9539  2 Sc 3.27-3.57, 4 Pr 3.29-3.66, 1 Pm 3.40
Pr 0.0661 0.9539 0.7403  2 Sc 3.27-3.57, 4 Pr 3.29-3.66, 1 Pm 3.40
Pr 0.4339 0.2597 0.0461  2 Sc 3.27-3.57, 4 Pr 3.29-3.66, 1 Pm 3.40
Pr 0.1539 0.6353 0.2161  3 Sc 3.26-3.57, 4 Pr 3.29-3.58
Pr 0.3461 0.7839 0.3647  3 Sc 3.26-3.57, 4 Pr 3.29-3.58
Pr 0.8461 0.3647 0.7839  3 Sc 3.26-3.57, 4 Pr 3.29-3.58
Pr 0.6539 0.2161 0.6353  3 Sc 3.26-3.57, 4 Pr 3.29-3.58
Sc 0.3705 0.6020 0.7639  8 Pr 3.26-3.57, 1 Pm 3.31
Sc 0.1295 0.2361 0.3980  8 Pr 3.26-3.57, 1 Pm 3.31
Sc 0.6295 0.3980 0.2361  8 Pr 3.26-3.57, 1 Pm 3.31
Sc 0.8705 0.7639 0.6020  8 Pr 3.26-3.57, 1 Pm 3.31

Summary:
Calculated volume in Å³ per cell: 601.6
SG: No. 15

#2
A relaxed structure of PmPr6Sc2. Source: Alexandria via LeMat-Bulk, functional PBE-GGA.

a = 8.1392 Å, b = 8.1392 Å, c = 10.4646 Å
α = 90.00°, β = 90.00°, γ = 90.00°
Last column: nearest neighbours and their distance in Å.
Fractional positions:
Pm 0.5000 0.5000 0.0000  6 Pr 3.08-3.31
Pm 0.0000 0.0000 0.5000  6 Pr 3.08-3.31
Pr 0.7426 0.7426 0.1695  2 Sc 2.96-3.29, 1 Pm 3.31
Pr 0.7426 0.7426 0.8305  2 Sc 2.96-3.29, 1 Pm 3.31
Pr 0.7323 0.7323 0.5000  1 Pm 3.08, 2 Sc 3.17
Pr 0.7677 0.2323 0.0000  1 Pm 3.08, 2 Sc 3.17
Pr 0.7574 0.2426 0.3305  2 Sc 2.96-3.29, 1 Pm 3.31
Pr 0.7574 0.2426 0.6695  2 Sc 2.96-3.29, 1 Pm 3.31
Pr 0.2426 0.7574 0.3305  2 Sc 2.96-3.29, 1 Pm 3.31
Pr 0.2426 0.7574 0.6695  2 Sc 2.96-3.29, 1 Pm 3.31
Pr 0.2323 0.7677 0.0000  1 Pm 3.08, 2 Sc 3.17
Pr 0.2677 0.2677 0.5000  1 Pm 3.08, 2 Sc 3.17
Pr 0.2574 0.2574 0.1695  2 Sc 2.96-3.29, 1 Pm 3.31
Pr 0.2574 0.2574 0.8305  2 Sc 2.96-3.29, 1 Pm 3.31
Sc 0.5000 0.5000 0.3366  6 Pr 2.96-3.29
Sc 0.5000 0.5000 0.6634  6 Pr 2.96-3.29
Sc 0.0000 0.0000 0.1634  6 Pr 2.96-3.29
Sc 0.0000 0.0000 0.8366  6 Pr 2.96-3.29

Summary:
Calculated volume in Å³ per cell: 693.2
SG: No. 136

What should be chosen as the most stable of them? Choose #1.

#1
A relaxed structure of Pm4Pr2Sc. Source: Alexandria via LeMat-Bulk, functional PBE-GGA.

a = 5.4737 Å, b = 5.4737 Å, c = 9.6718 Å
α = 106.44°, β = 106.44°, γ = 90.00°
Last column: nearest neighbours and their distance in Å.
Fractional positions:
Pm 0.8210 0.8210 0.6420  1 Sc 3.17, 1 Pr 3.47
Pm 0.1790 0.1790 0.3580  1 Sc 3.17, 1 Pr 3.47
Pm 0.0000 0.5000 0.0000  2 Sc 2.74
Pm 0.5000 0.0000 0.0000  2 Sc 2.74
Pr 0.6252 0.6252 0.2504  5 Pm 3.47-3.52
Pr 0.3748 0.3748 0.7496  5 Pm 3.47-3.52
Sc 0.0000 0.0000 0.0000  4 Pm 2.74

Summary:
Calculated volume in Å³ per cell: 265.6
SG: No. 139

#2
A relaxed structure of Pm4Pr2Sc. Source: Alexandria via LeMat-Bulk, functional PBE-GGA.

a = 8.9027 Å, b = 8.9400 Å, c = 7.1153 Å
α = 101.35°, β = 90.06°, γ = 121.85°
Last column: nearest neighbours and their distance in Å.
Fractional positions:
Pm 0.8619 0.8277 0.5685  4 Pr 3.39-3.74, 3 Sc 3.55-3.59, 5 Pm 3.63-3.71
Pm 0.2847 0.1135 0.8891  8 Pm 3.54-3.76, 2 Sc 3.72-3.76, 3 Pr 3.79-3.90
Pm 0.0199 0.2646 0.1786  2 Pm 3.21-3.58, 1 Sc 3.32, 4 Pr 3.43-3.58
Pm 0.2813 0.1137 0.3921  7 Pm 3.54-3.74, 4 Pr 3.58-3.92, 2 Sc 3.72-3.74
Pm 0.6104 0.9928 0.8597  3 Pm 3.31-3.58, 3 Pr 3.55-3.61, 1 Sc 3.65
Pm 0.4426 0.5512 0.2501  3 Pm 3.21-3.56, 2 Pr 3.33-3.41, 1 Sc 3.55
Pm 0.1692 0.7001 0.0364  3 Sc 3.55-3.56, 6 Pm 3.65-3.78, 4 Pr 3.67-3.77
Pm 0.4429 0.5519 0.7497  2 Pr 3.18-3.37, 3 Pm 3.31-3.56, 1 Sc 3.55
Pr 0.6075 0.9941 0.3592  5 Pm 3.33-3.58, 2 Pr 3.61-3.72, 2 Sc 3.67-3.72
Pr 0.7397 0.4255 0.7188  4 Pm 3.37-3.76, 4 Pr 3.39-3.76, 2 Sc 3.54-3.75
Pr 0.0220 0.2774 0.6782  3 Pm 3.18-3.53, 1 Pr 3.39
Pr 0.7413 0.4220 0.2166  5 Pm 3.41-3.74, 3 Pr 3.55-3.72, 2 Sc 3.56-3.74
Sc 0.1786 0.6941 0.5350  9 Pm 3.56-3.74, 4 Pr 3.59-3.75
Sc 0.8478 0.8213 0.0679  7 Pm 3.32-3.65, 3 Pr 3.54-3.67

Summary:
Calculated volume in Å³ per cell: 467.9
SG: No. 1

What should be chosen as the most stable of them? Choose #2.

#1
A relaxed structure of PmPrSc. Source: Alexandria via LeMat-Bulk, functional PBE-GGA.

a = 5.0229 Å, b = 3.5375 Å, c = 10.5906 Å
α = 89.98°, β = 90.00°, γ = 90.00°
Last column: nearest neighbours and their distance in Å.
Fractional positions:
Pm 0.3469 0.2451 0.1444  5 Sc 3.27-3.49, 2 Pm 3.54, 4 Pr 3.58
Pm 0.8468 0.7449 0.6792  5 Sc 3.27-3.49, 2 Pm 3.54, 4 Pr 3.58-3.59
Pr 0.3468 0.2454 0.5047  1 Sc 3.51, 6 Pr 3.54-3.65, 5 Pm 3.58-3.82
Pr 0.8468 0.7453 0.3188  1 Sc 3.51, 6 Pr 3.54-3.65, 5 Pm 3.58-3.82
Sc 0.8470 0.7445 0.9877  5 Pm 3.27-3.49, 6 Sc 3.47-3.54, 1 Pr 3.51
Sc 0.3469 0.2444 0.8358  5 Pm 3.27-3.49, 6 Sc 3.47-3.54, 1 Pr 3.51

Summary:
Calculated volume in Å³ per cell: 188.2
SG: No. 59

#2
A relaxed structure of PmPrSc. Source: Alexandria via LeMat-Bulk, functional PBE-GGA.

a = 6.4577 Å, b = 3.3291 Å, c = 9.6817 Å
α = 99.90°, β = 109.48°, γ = 90.00°
Last column: nearest neighbours and their distance in Å.
Fractional positions:
Pm 0.6641 0.1641 0.3282  1 Sc 3.24, 2 Pm 3.33
Pm 0.3359 0.8359 0.6718  1 Sc 3.24, 2 Pm 3.33
Pr 0.7424 0.5000 0.0000  4 Pr 3.13-3.33, 2 Sc 3.24
Pr 0.2576 0.5000 0.0000  4 Pr 3.13-3.33, 2 Sc 3.24
Sc 0.1552 0.6552 0.3104  1 Pm 3.24, 2 Pr 3.24, 2 Sc 3.33
Sc 0.8448 0.3448 0.6896  1 Pm 3.24, 2 Pr 3.24, 2 Sc 3.33

Summary:
Calculated volume in Å³ per cell: 192.9
SG: No. 71

#3
A relaxed structure of PmPrSc. Source: Alexandria via LeMat-Bulk, functional PBE-GGA.

a = 3.4631 Å, b = 5.5937 Å, c = 5.5937 Å
α = 120.00°, β = 90.00°, γ = 90.00°
Last column: nearest neighbours and their distance in Å.
Fractional positions:
Pr 0.6668 0.6667 0.3333  2 Pr 3.46, 6 Pm 3.66-3.67, 6 Sc 3.66
Sc 0.1669 0.3333 0.6667  3 Pm 3.23, 2 Sc 3.46
Pm 0.1663 0.0000 0.0000  3 Sc 3.23, 2 Pm 3.46

Summary:
Calculated volume in Å³ per cell: 93.8
SG: No. 187

What should be chosen as the most stable of them? Choose #1.

#1
A relaxed structure of Pm3PrSc3. Source: Alexandria via LeMat-Bulk, functional PBE-GGA.

a = 5.5725 Å, b = 9.3958 Å, c = 9.3958 Å
α = 120.00°, β = 90.00°, γ = 90.00°
Last column: nearest neighbours and their distance in Å.
Fractional positions:
Pm 0.2500 0.8028 0.7530  5 Sc 3.43-3.61, 1 Pr 3.48, 6 Pm 3.50-3.68
Pm 0.2500 0.2470 0.0499  5 Sc 3.43-3.61, 1 Pr 3.48, 6 Pm 3.50-3.68
Pm 0.2500 0.9501 0.1972  5 Sc 3.43-3.61, 1 Pr 3.48, 6 Pm 3.50-3.68
Pm 0.7500 0.1972 0.2470  5 Sc 3.43-3.61, 1 Pr 3.48, 6 Pm 3.50-3.68
Pm 0.7500 0.7530 0.9501  5 Sc 3.43-3.61, 1 Pr 3.48, 6 Pm 3.50-3.68
Pm 0.7500 0.0499 0.8028  5 Sc 3.43-3.61, 1 Pr 3.48, 6 Pm 3.50-3.68
Pr 0.2500 0.6667 0.3333  9 Sc 3.44-3.56, 3 Pm 3.48
Pr 0.7500 0.3333 0.6667  9 Sc 3.44-3.56, 3 Pm 3.48
Sc 0.7500 0.6132 0.5156  4 Sc 3.43-3.48, 5 Pm 3.43-3.61, 3 Pr 3.44-3.56
Sc 0.7500 0.4844 0.0976  4 Sc 3.43-3.48, 5 Pm 3.43-3.61, 3 Pr 3.44-3.56
Sc 0.7500 0.9024 0.3868  4 Sc 3.43-3.48, 5 Pm 3.43-3.61, 3 Pr 3.44-3.56
Sc 0.2500 0.3868 0.4844  4 Sc 3.43-3.48, 5 Pm 3.43-3.61, 3 Pr 3.44-3.56
Sc 0.2500 0.5156 0.9024  4 Sc 3.43-3.48, 5 Pm 3.43-3.61, 3 Pr 3.44-3.56
Sc 0.2500 0.0976 0.6132  4 Sc 3.43-3.48, 5 Pm 3.43-3.61, 3 Pr 3.44-3.56

Summary:
Calculated volume in Å³ per cell: 426.0
SG: No. 176

#2
A relaxed structure of Pm3PrSc3. Source: Alexandria via LeMat-Bulk, functional PBE-GGA.

a = 8.6524 Å, b = 8.6524 Å, c = 8.6524 Å
α = 58.40°, β = 58.40°, γ = 58.40°
Last column: nearest neighbours and their distance in Å.
Fractional positions:
Pm 0.7171 0.5682 0.0717  4 Sc 3.27-3.54, 2 Pm 3.51, 2 Pr 3.56-3.66
Pm 0.0717 0.7171 0.5682  4 Sc 3.27-3.54, 2 Pm 3.51, 2 Pr 3.56-3.66
Pm 0.5682 0.0717 0.7171  4 Sc 3.27-3.54, 2 Pm 3.51, 2 Pr 3.56-3.66
Pm 0.4318 0.9283 0.2829  4 Sc 3.27-3.54, 2 Pm 3.51, 2 Pr 3.56-3.66
Pm 0.9283 0.2829 0.4318  4 Sc 3.27-3.54, 2 Pm 3.51, 2 Pr 3.56-3.66
Pm 0.2829 0.4318 0.9283  4 Sc 3.27-3.54, 2 Pm 3.51, 2 Pr 3.56-3.66
Pr 0.3457 0.3457 0.3457  6 Sc 3.50-3.72, 6 Pm 3.56-3.66
Pr 0.6543 0.6543 0.6543  6 Sc 3.50-3.72, 6 Pm 3.56-3.66
Sc 0.7253 0.1659 0.9393  4 Sc 3.06-3.22, 2 Pm 3.27-3.30
Sc 0.1659 0.9393 0.7253  4 Sc 3.06-3.22, 2 Pm 3.27-3.30
Sc 0.9393 0.7253 0.1659  4 Sc 3.06-3.22, 2 Pm 3.27-3.30
Sc 0.0607 0.2747 0.8341  4 Sc 3.06-3.22, 2 Pm 3.27-3.30
Sc 0.8341 0.0607 0.2747  4 Sc 3.06-3.22, 2 Pm 3.27-3.30
Sc 0.2747 0.8341 0.0607  4 Sc 3.06-3.22, 2 Pm 3.27-3.30

Summary:
Calculated volume in Å³ per cell: 441.3
SG: No. 148

What should be chosen as the most stable of them? Choose #1.